Ba2GaWF | GGA+U | optimized geometry

```
Ba2GaWF
1.0
6.521 0.000 0.000
0.000 6.521 0.000
0.000 0.000 5.001
Ba Ga W F
2 1 1 1
Cartesian
0.000 3.261 0.000 Ba
3.261 0.000 0.000 Ba
0.000 0.000 2.500 Ga
0.000 0.000 0.000 W
3.261 3.261 2.500 F
```

Properties
N(E_F) in states/eV/cell: 2.4
Total energy in hartree per atom: -0.120
Spin magnetization in μB/f.u.: 3.97
Symmetry: P4/mmm